! ZnAsPb2, optimized geometry, DFT GGA-PBE; values from VASP
! **Size of the total moment**: 0.0 μB per formula unit
! **Energy above the most stable polymorph in this dataset**: 0.080 eV per atom
! **Crystal system**: monoclinic
! **SG**: No. 12
! **V**: 27.11 A^3/atom
! **Fermi-level density of states**: 0.355 states/eV per atom
&SYSTEM
  ibrav = 0, nat = 8, ntyp = 3
/
ATOMIC_SPECIES
Zn 65.41 Zn.upf
As 74.92 As.upf
Pb 207.20 Pb.upf
CELL_PARAMETERS angstrom
7.256 0.000 0.000
0.000 4.163 0.000
-2.373 0.000 7.182
ATOMIC_POSITIONS angstrom
Zn 0.000 0.000 0.000
Zn 3.628 2.081 0.000
As -1.186 2.081 3.591
As 2.442 0.000 3.591
Pb 0.028 0.000 5.328
Pb 1.228 2.081 1.854
Pb 3.656 2.081 5.328
Pb 4.856 0.000 1.854

---

! Li8Pd2Pt, optimized geometry, DFT GGA-PBE; values from VASP
! **Size of the total moment**: 0.0 μB per formula unit
! **Energy above the most stable polymorph in this dataset**: 0.008 eV per atom
! **Crystal system**: orthorhombic
! **SG**: No. 65
! **V**: 15.68 A^3/atom
! **Fermi-level density of states**: 0.254 states/eV per atom
&SYSTEM
  ibrav = 0, nat = 11, ntyp = 3
/
ATOMIC_SPECIES
Li 6.94 Li.upf
Pd 106.42 Pd.upf
Pt 195.08 Pt.upf
CELL_PARAMETERS angstrom
3.895 -5.242 0.000
3.895 5.242 0.000
0.000 0.000 4.224
ATOMIC_POSITIONS angstrom
Li 1.307 1.357 2.112
Li 3.895 2.682 0.000
Li 1.307 -1.357 2.112
Li 2.607 0.000 0.000
Li 5.183 0.000 0.000
Li 6.483 1.357 2.112
Li 3.895 -2.682 0.000
Li 6.483 -1.357 2.112
Pd 3.895 1.327 2.112
Pd 3.895 -1.327 2.112
Pt 0.000 0.000 0.000